VASP calculation (PBE-GGA) on crystalline PrSm2Y3Bi6 at its relaxed geometry.

Computed properties:
Fermi-level density of states	2.2	states/eV/f.u.
magnetization	0.00	μB per atom
VASP energy	-5.6566	eV/atom

abc: 7.8603 13.6167 7.8461
angles: 90.00 109.50 90.00
Space group C2/m (No. 12)
Symmetry-distinct sites (fractional):
Pr 0.0000 0.0000 0.0000 [2 per cell]
Sm 0.0000 0.3330 0.0000 [4 per cell]
Y 0.0000 0.1654 0.5000 [4 per cell]
Y 0.0000 0.5000 0.5000 [2 per cell]
Bi 0.2462 0.3319 0.7431 [8 per cell]
Bi 0.2489 0.5000 0.2558 [4 per cell]